Material: K5Ni2F12
Method: DFT, GGA+U
State: optimized geometry Values from VASP.

Values from the calculation:
Symmetry ... C2/m
Total moment ... 7.13 μB/f.u.
E_tot ... -74.707 eV per cell

Quantum ESPRESSO input file:
```
&SYSTEM
  ibrav = 0, nat = 19, ntyp = 3
/
ATOMIC_SPECIES
K 39.10 K.upf
F 19.00 F.upf
Ni 58.69 Ni.upf
CELL_PARAMETERS angstrom
-2.994 -6.587 -2.648
4.838 -5.766 -0.433
-1.670 -5.109 5.288
ATOMIC_POSITIONS crystal
K 0.464 0.323 0.323
F 0.826 0.447 0.819
K 0.536 0.677 0.677
F 0.159 0.887 0.887
Ni 0.000 0.822 0.178
F 0.841 0.113 0.113
F 0.826 0.819 0.447
F 0.178 0.891 0.237
K 0.500 0.000 0.000
F 0.174 0.553 0.181
K 0.998 0.722 0.722
F 0.822 0.763 0.109
F 0.646 0.445 0.445
F 0.822 0.109 0.763
K 0.002 0.278 0.278
F 0.178 0.237 0.891
F 0.354 0.555 0.555
Ni 0.000 0.178 0.822
F 0.174 0.181 0.553
```